Entry 1:
# HfPdAu, relaxed, DFT PBE
data_HfPdAu
_space_group_name_H-M_alt 'P 1'
_space_group_IT_number 1
_cell_length_a 9.4008
_cell_length_b 3.4848
_cell_length_c 7.0628
_cell_angle_alpha 90.00
_cell_angle_beta 111.79
_cell_angle_gamma 90.00
loop_
_space_group_symop_operation_xyz
'x,y,z'
loop_
_atom_site_label
_atom_site_fract_x
_atom_site_fract_y
_atom_site_fract_z
_atom_site_occupancy
Hf1 0.0000 0.0000 0.0000 1
Hf2 0.0000 0.0000 0.5000 1
Hf3 0.5000 0.5000 0.0000 1
Hf4 0.5000 0.5000 0.5000 1
Pd1 0.1589 0.5000 0.3313 1
Pd2 0.3411 0.0000 0.6687 1
Pd3 0.6589 0.0000 0.3313 1
Pd4 0.8411 0.5000 0.6687 1
Au1 0.1661 0.5000 0.8283 1
Au2 0.3339 0.0000 0.1717 1
Au3 0.6661 0.0000 0.8283 1
Au4 0.8339 0.5000 0.1717 1
# Energy above the lowest structure with this stoichiometry = 0.0110 eV/atom

***

Entry 2:
# Dy6Y3Ho2In, relaxed, DFT PBE
data_Dy6Y3Ho2In
_space_group_name_H-M_alt 'P 1'
_space_group_IT_number 1
_cell_length_a 6.0968
_cell_length_b 6.0968
_cell_length_c 11.6203
_cell_angle_alpha 95.04
_cell_angle_beta 95.04
_cell_angle_gamma 120.05
loop_
_space_group_symop_operation_xyz
'x,y,z'
loop_
_atom_site_label
_atom_site_fract_x
_atom_site_fract_y
_atom_site_fract_z
_atom_site_occupancy
Dy1 0.0813 0.4103 0.2455 1
Dy2 0.2476 0.2476 0.7532 1
Dy3 0.4103 0.0813 0.2455 1
Dy4 0.5897 0.9187 0.7545 1
Dy5 0.7524 0.7524 0.2468 1
Dy6 0.9187 0.5897 0.7545 1
Y1 0.1667 0.8333 0.5000 1
Y2 0.5000 0.5000 0.5000 1
Y3 0.8333 0.1667 0.5000 1
Ho1 0.3340 0.6660 0.0000 1
Ho2 0.6660 0.3340 0.0000 1
In1 0.0000 0.0000 0.0000 1
# Energy = -59.344 eV per cell

***

Entry 3:
# HoPaSnHg, relaxed, DFT PBE
data_HoPaSnHg
_space_group_name_H-M_alt 'P 1'
_space_group_IT_number 1
_cell_length_a 7.4824
_cell_length_b 7.4824
_cell_length_c 7.4824
_cell_angle_alpha 90.00
_cell_angle_beta 90.00
_cell_angle_gamma 90.00
loop_
_space_group_symop_operation_xyz
'x,y,z'
loop_
_atom_site_label
_atom_site_fract_x
_atom_site_fract_y
_atom_site_fract_z
_atom_site_occupancy
Ho1 0.0000 0.0000 0.0000 1
Ho2 0.0000 0.5000 0.5000 1
Ho3 0.5000 0.0000 0.5000 1
Ho4 0.5000 0.5000 0.0000 1
Pa1 0.0000 0.0000 0.5000 1
Pa2 0.0000 0.5000 0.0000 1
Pa3 0.5000 0.0000 0.0000 1
Pa4 0.5000 0.5000 0.5000 1
Sn1 0.2500 0.2500 0.7500 1
Sn2 0.2500 0.7500 0.2500 1
Sn3 0.7500 0.2500 0.2500 1
Sn4 0.7500 0.7500 0.7500 1
Hg1 0.2500 0.2500 0.2500 1
Hg2 0.2500 0.7500 0.7500 1
Hg3 0.7500 0.2500 0.7500 1
Hg4 0.7500 0.7500 0.2500 1
# Energy = -76.420 eV per cell

***

Entry 4:
# Ho3ErCd3, relaxed, DFT PBE
data_Ho3ErCd3
_space_group_name_H-M_alt 'P 1'
_space_group_IT_number 1
_cell_length_a 7.5240
_cell_length_b 7.5240
_cell_length_c 6.8744
_cell_angle_alpha 90.00
_cell_angle_beta 90.00
_cell_angle_gamma 90.22
loop_
_space_group_symop_operation_xyz
'x,y,z'
loop_
_atom_site_label
_atom_site_fract_x
_atom_site_fract_y
_atom_site_fract_z
_atom_site_occupancy
Ho1 0.2029 0.2029 0.5000 1
Ho2 0.2051 0.7949 0.0000 1
Ho3 0.2624 0.2624 0.0000 1
Ho4 0.7376 0.7376 0.0000 1
Ho5 0.7949 0.2051 0.0000 1
Ho6 0.7971 0.7971 0.5000 1
Er1 0.2631 0.7369 0.5000 1
Er2 0.7369 0.2631 0.5000 1
Cd1 0.0000 0.5000 0.2506 1
Cd2 0.0000 0.5000 0.7494 1
Cd3 0.5000 0.0000 0.2506 1
Cd4 0.5000 0.0000 0.7494 1
Cd5 0.5000 0.5000 0.2511 1
Cd6 0.5000 0.5000 0.7489 1
# Energy = -43.946 eV per cell

***

Entry 5:
# Th2NbTc, relaxed, DFT PBE
data_Th2NbTc
_space_group_name_H-M_alt 'P 1'
_space_group_IT_number 1
_cell_length_a 3.2813
_cell_length_b 3.2813
_cell_length_c 31.0807
_cell_angle_alpha 90.00
_cell_angle_beta 90.00
_cell_angle_gamma 120.00
loop_
_space_group_symop_operation_xyz
'x,y,z'
loop_
_atom_site_label
_atom_site_fract_x
_atom_site_fract_y
_atom_site_fract_z
_atom_site_occupancy
Th1 0.0000 0.0000 0.0936 1
Th2 0.0000 0.0000 0.9064 1
Th3 0.3333 0.6667 0.5731 1
Th4 0.3333 0.6667 0.7603 1
Th5 0.6667 0.3333 0.2397 1
Th6 0.6667 0.3333 0.4269 1
Nb1 0.0000 0.0000 0.0000 1
Nb2 0.3333 0.6667 0.6667 1
Nb3 0.6667 0.3333 0.3333 1
Tc1 0.0000 0.0000 0.5000 1
Tc2 0.3333 0.6667 0.1667 1
Tc3 0.6667 0.3333 0.8333 1
# Energy = -98.016 eV per cell

***

Entry 6:
# Ac6PmSm8, relaxed, DFT PBE
data_Ac6PmSm8
_space_group_name_H-M_alt 'P 1'
_space_group_IT_number 1
_cell_length_a 9.1679
_cell_length_b 9.1679
_cell_length_c 9.1679
_cell_angle_alpha 62.57
_cell_angle_beta 62.57
_cell_angle_gamma 62.57
loop_
_space_group_symop_operation_xyz
'x,y,z'
loop_
_atom_site_label
_atom_site_fract_x
_atom_site_fract_y
_atom_site_fract_z
_atom_site_occupancy
Ac1 0.0410 0.5894 0.7384 1
Ac2 0.2616 0.9590 0.4106 1
Ac3 0.4106 0.2616 0.9590 1
Ac4 0.5894 0.7384 0.0410 1
Ac5 0.7384 0.0410 0.5894 1
Ac6 0.9590 0.4106 0.2616 1
Pm1 0.5000 0.5000 0.5000 1
Sm1 0.0748 0.0748 0.0748 1
Sm2 0.2058 0.6126 0.2620 1
Sm3 0.2620 0.2058 0.6126 1
Sm4 0.3874 0.7380 0.7942 1
Sm5 0.6126 0.2620 0.2058 1
Sm6 0.7380 0.7942 0.3874 1
Sm7 0.7942 0.3874 0.7380 1
Sm8 0.9252 0.9252 0.9252 1
# Energy = -65.272 eV per cell

***

Entry 7:
# K3DyI6, relaxed, DFT PBE
data_K3DyI6
_space_group_name_H-M_alt 'P 1'
_space_group_IT_number 1
_cell_length_a 8.4124
_cell_length_b 9.0557
_cell_length_c 14.6130
_cell_angle_alpha 90.00
_cell_angle_beta 123.70
_cell_angle_gamma 90.00
loop_
_space_group_symop_operation_xyz
'x,y,z'
loop_
_atom_site_label
_atom_site_fract_x
_atom_site_fract_y
_atom_site_fract_z
_atom_site_occupancy
K1 0.0000 0.0000 0.0000 1
K2 0.0000 0.5000 0.5000 1
K3 0.2049 0.0889 0.7422 1
K4 0.2049 0.4111 0.2422 1
K5 0.7951 0.5889 0.7578 1
K6 0.7951 0.9111 0.2578 1
Dy1 0.5000 0.0000 0.5000 1
Dy2 0.5000 0.5000 0.0000 1
I1 0.1474 0.1764 0.4399 1
I2 0.1474 0.3236 0.9399 1
I3 0.2614 0.7170 0.4230 1
I4 0.2614 0.7830 0.9230 1
I5 0.4092 0.0535 0.2698 1
I6 0.4092 0.4465 0.7698 1
I7 0.5908 0.5535 0.2302 1
I8 0.5908 0.9465 0.7302 1
I9 0.7386 0.2170 0.0770 1
I10 0.7386 0.2830 0.5770 1
I11 0.8526 0.6764 0.0601 1
I12 0.8526 0.8236 0.5601 1
# ΔE_f (raw) = -1.453 eV/atom

***

Entry 8:
# TlFeOs, relaxed, DFT PBE
data_TlFeOs
_space_group_name_H-M_alt 'P 1'
_space_group_IT_number 1
_cell_length_a 2.8579
_cell_length_b 2.8579
_cell_length_c 11.7451
_cell_angle_alpha 90.00
_cell_angle_beta 90.00
_cell_angle_gamma 90.00
loop_
_space_group_symop_operation_xyz
'x,y,z'
loop_
_atom_site_label
_atom_site_fract_x
_atom_site_fract_y
_atom_site_fract_z
_atom_site_occupancy
Tl1 0.0000 0.0000 0.0000 1
Tl2 0.5000 0.5000 0.5000 1
Fe1 0.0000 0.0000 0.6810 1
Fe2 0.5000 0.5000 0.1810 1
Os1 0.0000 0.0000 0.3044 1
Os2 0.5000 0.5000 0.8044 1
# Energy above the lowest structure with this stoichiometry = 0.0000 eV/atom

***

Entry 9:
# PmCuAgAu, relaxed, DFT PBE
data_PmCuAgAu
_space_group_name_H-M_alt 'P 1'
_space_group_IT_number 1
_cell_length_a 6.9029
_cell_length_b 6.9029
_cell_length_c 6.9029
_cell_angle_alpha 90.00
_cell_angle_beta 90.00
_cell_angle_gamma 90.00
loop_
_space_group_symop_operation_xyz
'x,y,z'
loop_
_atom_site_label
_atom_site_fract_x
_atom_site_fract_y
_atom_site_fract_z
_atom_site_occupancy
Pm1 0.0000 0.0000 0.0000 1
Pm2 0.0000 0.5000 0.5000 1
Pm3 0.5000 0.0000 0.5000 1
Pm4 0.5000 0.5000 0.0000 1
Cu1 0.2500 0.2500 0.2500 1
Cu2 0.2500 0.7500 0.7500 1
Cu3 0.7500 0.2500 0.7500 1
Cu4 0.7500 0.7500 0.2500 1
Ag1 0.0000 0.0000 0.5000 1
Ag2 0.0000 0.5000 0.0000 1
Ag3 0.5000 0.0000 0.0000 1
Ag4 0.5000 0.5000 0.5000 1
Au1 0.2500 0.2500 0.7500 1
Au2 0.2500 0.7500 0.2500 1
Au3 0.7500 0.2500 0.2500 1
Au4 0.7500 0.7500 0.7500 1
# Energy = -65.133 eV per cell

***

Entry 10:
# CsK2RbSn, relaxed, DFT PBE
data_CsK2RbSn
_space_group_name_H-M_alt 'P 1'
_space_group_IT_number 1
_cell_length_a 7.0822
_cell_length_b 7.0822
_cell_length_c 7.3474
_cell_angle_alpha 90.00
_cell_angle_beta 90.00
_cell_angle_gamma 90.00
loop_
_space_group_symop_operation_xyz
'x,y,z'
loop_
_atom_site_label
_atom_site_fract_x
_atom_site_fract_y
_atom_site_fract_z
_atom_site_occupancy
Cs1 0.0000 0.0000 0.0000 1
K1 0.0000 0.5000 0.5000 1
K2 0.5000 0.0000 0.5000 1
Rb1 0.5000 0.5000 0.0000 1
Sn1 0.0000 0.0000 0.5000 1
# Energy above the lowest structure with this stoichiometry = 0.0374 eV/atom

***

Entry 11:
# SmZrNpN3, relaxed, DFT PBE
data_SmZrNpN3
_space_group_name_H-M_alt 'P 1'
_space_group_IT_number 1
_cell_length_a 6.8618
_cell_length_b 3.2737
_cell_length_c 8.5895
_cell_angle_alpha 90.00
_cell_angle_beta 93.37
_cell_angle_gamma 90.00
loop_
_space_group_symop_operation_xyz
'x,y,z'
loop_
_atom_site_label
_atom_site_fract_x
_atom_site_fract_y
_atom_site_fract_z
_atom_site_occupancy
Sm1 0.1415 0.2500 0.1506 1
Sm2 0.8585 0.7500 0.8494 1
Zr1 0.3731 0.7500 0.8595 1
Zr2 0.6269 0.2500 0.1405 1
Np1 0.1254 0.2500 0.5576 1
Np2 0.8746 0.7500 0.4424 1
N1 0.1350 0.2500 0.8575 1
N2 0.3136 0.7500 0.6106 1
N3 0.3992 0.7500 0.1222 1
N4 0.6008 0.2500 0.8778 1
N5 0.6864 0.2500 0.3894 1
N6 0.8650 0.7500 0.1425 1
# ΔE_f (raw) = -1.134 eV/atom

***

Entry 12:
# NaTeRu2N, relaxed, DFT PBE
data_NaTeRu2N
_space_group_name_H-M_alt 'P 1'
_space_group_IT_number 1
_cell_length_a 4.0589
_cell_length_b 4.0589
_cell_length_c 4.6822
_cell_angle_alpha 90.00
_cell_angle_beta 90.00
_cell_angle_gamma 90.00
loop_
_space_group_symop_operation_xyz
'x,y,z'
loop_
_atom_site_label
_atom_site_fract_x
_atom_site_fract_y
_atom_site_fract_z
_atom_site_occupancy
Na1 0.0000 0.0000 0.0000 1
Te1 0.5000 0.5000 0.0000 1
Ru1 0.0000 0.5000 0.5000 1
Ru2 0.5000 0.0000 0.5000 1
N1 0.0000 0.0000 0.5000 1
# ΔE_f (raw) = 0.223 eV/atom

***

Number 1: calculated volume 17.90 Å³ per atom, theoretical density 14.90 Mg/m³. Number 2: calculated volume 30.67 Å³ per atom, theoretical density 7.61 Mg/m³. Number 3: calculated volume 26.18 Å³ per atom, theoretical density 11.34 Mg/m³. Number 4: calculated volume 27.80 Å³ per atom, theoretical density 8.53 Mg/m³. Number 5: calculated volume 24.15 Å³ per atom, theoretical density 11.26 Mg/m³. Number 6: calculated volume 38.41 Å³ per atom, theoretical density 7.81 Mg/m³. Number 7: calculated volume 46.31 Å³ per atom, theoretical density 3.73 Mg/m³. Number 8: calculated volume 15.99 Å³ per atom, theoretical density 15.60 Mg/m³. Number 9: calculated volume 20.56 Å³ per atom, theoretical density 10.37 Mg/m³. Number 10: calculated volume 73.70 Å³ per atom, theoretical density 1.87 Mg/m³. Number 11: calculated volume 16.05 Å³ per atom, theoretical density 8.98 Mg/m³. Number 12: calculated volume 15.43 Å³ per atom, theoretical density 7.89 Mg/m³.